This record from the Alexandria database describes SrAs2W after structural relaxation. The functional is PBE.

Computed properties:
- uncorrected energy (eV per atom) = -6.27
- DFT formation energy (eV per atom) = -0.285
- polymorph energy (0 for the lowest one) (eV per atom) = 0.020
- V (Å³ per cell) = 89.2

POSCAR file:
```
SrAs2W
1.0
1.8852 1.0884 7.2477
-1.8852 1.0884 7.2477
0.0000 -2.1768 7.2477
Sr As W
1 2 1
direct
0.0000 0.0000 0.0000
0.5707 0.5707 0.5707
0.7714 0.7714 0.7714
0.1730 0.1730 0.1730
```